# 1
Density functional theory data (PBE) for an optimized crystal structure of SrYLu2.

The space group is R-3m (No. 166, hexagonal axes) and the conventional cell measures 3.5678, 3.5678 and 37.8600 Å, with angles of 90.00, 90.00 and 120.00 degrees. Symmetry generates all atoms from Sr at (0.0000, 0.0000, 0.0000), Y at (0.0000, 0.0000, 0.5000) and Lu at (0.0000, 0.0000, 0.0931).

The formation energy comes out at 0.260 eV per atom. As for the density of states at the Fermi level: 5.45 states/eV/f.u.



# 2
Density functional theory data (PBE) for an optimized crystal structure of SrLuZn.

The space group is I4mm (No. 107) and the conventional cell measures 3.691, 3.691 and 13.179 Å, with angles of 90.00, 90.00 and 90.00 degrees. Symmetry generates all atoms from Sr at (0.000, 0.000, 0.000), Lu at (0.000, 0.000, 0.274) and Zn at (0.000, 0.000, 0.667).

The formation energy comes out at -0.092 eV per atom. As for the density of states at the Fermi level: 3.26 states/eV/f.u.



# 3
Density functional theory data (PBE) for an optimized crystal structure of SrLuZn2.

The space group is P4/mmm (No. 123) and the conventional cell measures 3.683, 3.683 and 7.378 Å, with angles of 90.00, 90.00 and 90.00 degrees. Symmetry generates all atoms from Sr at (0.000, 0.000, 0.000), Lu at (0.000, 0.000, 0.500) and Zn at (0.500, 0.500, 0.297).

The formation energy comes out at -0.253 eV per atom. As for the density of states at the Fermi level: 2.41 states/eV/f.u.



# 4
Density functional theory data (PBE) for an optimized crystal structure of Sr2LuZn.

The space group is R-3m (No. 166, hexagonal axes) and the conventional cell measures 3.7826, 3.7826 and 35.6029 Å, with angles of 90.00, 90.00 and 120.00 degrees. Symmetry generates all atoms from Sr at (0.0000, 0.0000, 0.0989), Lu at (0.0000, 0.0000, 0.0000) and Zn at (0.0000, 0.0000, 0.5000).

The formation energy comes out at 0.329 eV per atom. As for the density of states at the Fermi level: 5.21 states/eV/f.u.



# 5
Density functional theory data (PBE) for an optimized crystal structure of LuTa3.

The space group is P6_3/mmc (No. 194) and the conventional cell measures 6.2467, 6.2467 and 4.9737 Å, with angles of 90.00, 90.00 and 120.00 degrees. Symmetry generates all atoms from Lu at (0.3333, 0.6667, 0.2500) and Ta at (0.1498, 0.2996, 0.7500).

The formation energy comes out at 0.323 eV per atom. As for the density of states at the Fermi level: 3.81 states/eV/f.u.



# 6
Density functional theory data (PBE) for an optimized crystal structure of Lu5Ta.

The space group is Cmmm (No. 65) and the conventional cell measures 4.736, 14.222 and 4.761 Å, with angles of 90.00, 90.00 and 90.00 degrees. Symmetry generates all atoms from Lu at (0.000, 0.000, 0.000), Lu at (0.000, 0.154, 0.500), Lu at (0.000, 0.343, 0.000) and Ta at (0.000, 0.500, 0.500).

The formation energy comes out at 0.172 eV per atom. As for the density of states at the Fermi level: 6.70 states/eV/f.u.



# 7
Density functional theory data (PBE) for an optimized crystal structure of LuTa2.

The space group is Fd-3m (No. 227, origin choice 2) and the conventional cell measures 8.044, 8.044 and 8.044 Å, with angles of 90.00, 90.00 and 90.00 degrees. Symmetry generates all atoms from Lu at (0.125, 0.125, 0.125) and Ta at (0.000, 0.000, 0.500).

The formation energy comes out at 0.219 eV per atom. As for the density of states at the Fermi level: 7.76 states/eV/f.u.



# 8
Density functional theory data (PBE) for an optimized crystal structure of TbLu2Ta.

The space group is R-3m (No. 166, hexagonal axes) and the conventional cell measures 3.2290, 3.2290 and 34.7280 Å, with angles of 90.00, 90.00 and 120.00 degrees. Symmetry generates all atoms from Tb at (0.0000, 0.0000, 0.0000), Lu at (0.0000, 0.0000, 0.4159) and Ta at (0.0000, 0.0000, 0.5000).

The formation energy comes out at 0.570 eV per atom. As for the density of states at the Fermi level: 5.18 states/eV/f.u.



# 9
Density functional theory data (PBE) for an optimized crystal structure of LuTaTi2.

The space group is P4/mmm (No. 123) and the conventional cell measures 3.467, 3.467 and 6.736 Å, with angles of 90.00, 90.00 and 90.00 degrees. Symmetry generates all atoms from Lu at (0.000, 0.000, 0.000), Ta at (0.000, 0.000, 0.500) and Ti at (0.500, 0.500, 0.299).

The formation energy comes out at 0.102 eV per atom. As for the density of states at the Fermi level: 6.63 states/eV/f.u.



# 10
Density functional theory data (PBE) for an optimized crystal structure of Lu2TaTl.

The space group is R-3m (No. 166, hexagonal axes) and the conventional cell measures 3.2156, 3.2156 and 33.7908 Å, with angles of 90.00, 90.00 and 120.00 degrees. Symmetry generates all atoms from Lu at (0.0000, 0.0000, 0.0865), Ta at (0.0000, 0.0000, 0.0000) and Tl at (0.0000, 0.0000, 0.5000).

The formation energy comes out at 0.506 eV per atom. As for the density of states at the Fermi level: 3.97 states/eV/f.u.



# 11
Density functional theory data (PBE) for an optimized crystal structure of LuTaV4.

The space group is F-43m (No. 216) and the conventional cell measures 7.310, 7.310 and 7.310 Å, with angles of 90.00, 90.00 and 90.00 degrees. Symmetry generates all atoms from Lu at (0.000, 0.000, 0.000), Ta at (0.250, 0.250, 0.250) and V at (0.125, 0.125, 0.625).

The formation energy comes out at 0.176 eV per atom. As for the density of states at the Fermi level: 11.95 states/eV/f.u.



# 12
Density functional theory data (PBE) for an optimized crystal structure of YLu2Ta.

The space group is R-3m (No. 166, hexagonal axes) and the conventional cell measures 3.2361, 3.2361 and 34.7231 Å, with angles of 90.00, 90.00 and 120.00 degrees. Symmetry generates all atoms from Y at (0.0000, 0.0000, 0.0000), Lu at (0.0000, 0.0000, 0.4160) and Ta at (0.0000, 0.0000, 0.5000).

The formation energy comes out at 0.586 eV per atom. As for the density of states at the Fermi level: 5.80 states/eV/f.u.



# 13
Density functional theory data (PBE) for an optimized crystal structure of LuTaZn4.

The space group is F-43m (No. 216) and the conventional cell measures 7.367, 7.367 and 7.367 Å, with angles of 90.00, 90.00 and 90.00 degrees. Symmetry generates all atoms from Lu at (0.000, 0.000, 0.000), Ta at (0.250, 0.250, 0.250) and Zn at (0.124, 0.124, 0.624).

The formation energy comes out at -0.090 eV per atom. As for the density of states at the Fermi level: 2.10 states/eV/f.u.



# 14
Density functional theory data (PBE) for an optimized crystal structure of LuZrTa4.

The space group is F-43m (No. 216) and the conventional cell measures 7.952, 7.952 and 7.952 Å, with angles of 90.00, 90.00 and 90.00 degrees. Symmetry generates all atoms from Lu at (0.000, 0.000, 0.000), Zr at (0.250, 0.250, 0.250) and Ta at (0.125, 0.125, 0.625).

The formation energy comes out at 0.161 eV per atom. As for the density of states at the Fermi level: 14.51 states/eV/f.u.



# 15
Density functional theory data (PBE) for an optimized crystal structure of Lu2ZrTa.

The space group is R-3m (No. 166, hexagonal axes) and the conventional cell measures 3.1726, 3.1726 and 33.4763 Å, with angles of 90.00, 90.00 and 120.00 degrees. Symmetry generates all atoms from Lu at (0.0000, 0.0000, 0.0875), Zr at (0.0000, 0.0000, 0.5000) and Ta at (0.0000, 0.0000, 0.0000).

The formation energy comes out at 0.510 eV per atom. As for the density of states at the Fermi level: 5.00 states/eV/f.u.



# 16
Density functional theory data (PBE) for an optimized crystal structure of Tb3Lu.

The space group is Pmm2 (No. 25) and the conventional cell measures 3.607, 5.601 and 6.245 Å, with angles of 90.00, 90.00 and 90.00 degrees. Symmetry generates all atoms from Tb at (0.000, 0.000, 0.000), Tb at (0.000, 0.500, 0.335), Tb at (0.500, 0.500, 0.834) and Lu at (0.500, 0.000, 0.502).

The formation energy comes out at 0.010 eV per atom. As for the density of states at the Fermi level: 6.51 states/eV/f.u.



# 17
Density functional theory data (PBE) for an optimized crystal structure of TbLu3.

The space group is Pm-3m (No. 221) and the conventional cell measures 4.917, 4.917 and 4.917 Å, with angles of 90.00, 90.00 and 90.00 degrees. Symmetry generates all atoms from Tb at (0.000, 0.000, 0.000) and Lu at (0.000, 0.500, 0.500).

The formation energy comes out at 0.034 eV per atom. As for the density of states at the Fermi level: 6.17 states/eV/f.u.



# 18
Density functional theory data (PBE) for an optimized crystal structure of TbLu3.

The space group is Pmm2 (No. 25) and the conventional cell measures 3.549, 5.506 and 6.144 Å, with angles of 90.00, 90.00 and 90.00 degrees. Symmetry generates all atoms from Tb at (0.000, 0.000, 0.000), Lu at (0.000, 0.500, 0.665), Lu at (0.500, 0.000, 0.498) and Lu at (0.500, 0.500, 0.166).

The formation energy comes out at 0.001 eV per atom. As for the density of states at the Fermi level: 6.57 states/eV/f.u.



# 19
Density functional theory data (PBE) for an optimized crystal structure of Tb5Lu.

The space group is Cmmm (No. 65) and the conventional cell measures 5.001, 14.995 and 5.003 Å, with angles of 90.00, 90.00 and 90.00 degrees. Symmetry generates all atoms from Tb at (0.000, 0.000, 0.000), Tb at (0.000, 0.166, 0.500), Tb at (0.000, 0.334, 0.000) and Lu at (0.000, 0.500, 0.500).

The formation energy comes out at 0.019 eV per atom. As for the density of states at the Fermi level: 7.98 states/eV/f.u.



# 20
Density functional theory data (PBE) for an optimized crystal structure of TbLu6.

The space group is Im-3m (No. 229) and the conventional cell measures 8.091, 8.091 and 8.091 Å, with angles of 90.00, 90.00 and 90.00 degrees. Symmetry generates all atoms from Tb at (0.000, 0.000, 0.000) and Lu at (0.000, 0.250, 0.500).

The formation energy comes out at 1.606 eV per atom. As for the density of states at the Fermi level: 13.37 states/eV/f.u.